Entry 1:
DFT (PBE-GGA) results for crystalline ZrTa2Zn at its relaxed geometry.

Crystal system: trigonal
Calculated formation energy (eV per atom): 0.23

Cell lengths 2.9319, 2.9319, 30.3260 Å; angles 90.00, 90.00, 120.00 degrees
Space group R-3m (No. 166, hexagonal axes)
Symmetry-distinct sites (fractional):
Zr  0.0000  0.0000  0.0000
Ta  0.0000  0.0000  0.2439
Zn  0.0000  0.0000  0.5000

Entry 2:
DFT (PBE-GGA) results for crystalline ZrTaZn2 at its relaxed geometry.

Crystal system: tetragonal
Calculated formation energy (eV per atom): 0.33

Cell lengths 7.388, 7.388, 5.453 Å; angles 90.00, 90.00, 90.00 degrees
Space group I-42d (No. 122)
Symmetry-distinct sites (fractional):
Zr  0.000  0.000  0.000
Ta  0.000  0.000  0.500
Zn  0.238  0.250  0.625

Entry 3:
DFT (PBE-GGA) results for crystalline Zr2TaZn at its relaxed geometry.

Crystal system: tetragonal
Calculated formation energy (eV per atom): 0.02

Cell lengths 4.254, 4.254, 8.666 Å; angles 90.00, 90.00, 90.00 degrees
Space group I4/mmm (No. 139)
Symmetry-distinct sites (fractional):
Zr  0.000  0.500  0.250
Ta  0.000  0.000  0.000
Zn  0.000  0.000  0.500

Entry 4:
DFT (PBE-GGA) results for crystalline ZrTaZn at its relaxed geometry.

Crystal system: tetragonal
Calculated formation energy (eV per atom): -0.01

Cell lengths 2.894, 2.894, 13.208 Å; angles 90.00, 90.00, 90.00 degrees
Space group I4mm (No. 107)
Symmetry-distinct sites (fractional):
Zr  0.000  0.000  0.000
Ta  0.000  0.000  0.322
Zn  0.000  0.000  0.668

Entry 5:
DFT (PBE-GGA) results for crystalline ZrTa2Zn at its relaxed geometry.

Crystal system: tetragonal
Calculated formation energy (eV per atom): 0.12

Cell lengths 2.854, 2.854, 9.035 Å; angles 90.00, 90.00, 90.00 degrees
Space group P4/mmm (No. 123)
Symmetry-distinct sites (fractional):
Zr  0.000  0.000  0.000
Ta  0.500  0.500  0.276
Zn  0.000  0.000  0.500

Entry 6:
DFT (PBE-GGA) results for crystalline ZrTaZn2 at its relaxed geometry.

Crystal system: trigonal
Calculated formation energy (eV per atom): 0.13

Cell lengths 2.9341, 2.9341, 29.1455 Å; angles 90.00, 90.00, 120.00 degrees
Space group R3m (No. 160, hexagonal axes)
Symmetry-distinct sites (fractional):
Zr  0.0000  0.0000  0.0000
Ta  0.0000  0.0000  0.2399
Zn  0.0000  0.0000  0.4939
Zn  0.0000  0.0000  0.7523

Entry 7:
DFT (PBE-GGA) results for crystalline ZrTaZn2 at its relaxed geometry.

Crystal system: trigonal
Calculated formation energy (eV per atom): 0.09

Cell lengths 2.9292, 2.9292, 29.1644 Å; angles 90.00, 90.00, 120.00 degrees
Space group R-3m (No. 166, hexagonal axes)
Symmetry-distinct sites (fractional):
Zr  0.0000  0.0000  0.0000
Ta  0.0000  0.0000  0.5000
Zn  0.0000  0.0000  0.2471

Entry 8:
DFT (PBE-GGA) results for crystalline Zr2TaZn at its relaxed geometry.

Crystal system: tetragonal
Calculated formation energy (eV per atom): 0.40

Cell lengths 7.620, 7.620, 5.661 Å; angles 90.00, 90.00, 90.00 degrees
Space group I-42d (No. 122)
Symmetry-distinct sites (fractional):
Zr  0.235  0.250  0.125
Ta  0.000  0.000  0.500
Zn  0.000  0.000  0.000

Entry 9:
DFT (PBE-GGA) results for crystalline Zr4TaZn5 at its relaxed geometry.

Crystal system: tetragonal
Calculated formation energy (eV per atom): -0.17

Cell lengths 3.375, 3.375, 15.933 Å; angles 90.00, 90.00, 90.00 degrees
Space group P4/mmm (No. 123)
Symmetry-distinct sites (fractional):
Zr  0.000  0.000  0.104
Zr  0.000  0.000  0.310
Ta  0.000  0.000  0.500
Zn  0.500  0.500  0.000
Zn  0.500  0.500  0.207
Zn  0.500  0.500  0.411

Entry 10:
DFT (PBE-GGA) results for crystalline ZrTa2Zn at its relaxed geometry.

Crystal system: trigonal
Calculated formation energy (eV per atom): 0.16

Cell lengths 3.0500, 3.0500, 28.4643 Å; angles 90.00, 90.00, 120.00 degrees
Space group R3m (No. 160, hexagonal axes)
Symmetry-distinct sites (fractional):
Zr  0.0000  0.0000  0.0000
Ta  0.0000  0.0000  0.5044
Ta  0.0000  0.0000  0.7546
Zn  0.0000  0.0000  0.2491

Entry 11:
DFT (PBE-GGA) results for crystalline Zr2TaZn at its relaxed geometry.

Crystal system: monoclinic
Calculated formation energy (eV per atom): 0.13

Cell lengths 5.254, 3.013, 5.341 Å; angles 90.00, 110.34, 90.00 degrees
Space group P2/m (No. 10)
Symmetry-distinct sites (fractional):
Zr  0.000  0.000  0.000
Zr  0.000  0.500  0.500
Ta  0.500  0.000  0.500
Zn  0.500  0.500  0.000

Entry 12:
DFT (PBE-GGA) results for crystalline Zr2TaZn at its relaxed geometry.

Crystal system: monoclinic
Calculated formation energy (eV per atom): 0.02

Cell lengths 10.667, 3.014, 5.150 Å; angles 90.00, 105.83, 90.00 degrees
Space group Cm (No. 8)
Symmetry-distinct sites (fractional):
Zr  0.000  0.000  0.000
Zr  0.214  0.000  0.660
Ta  0.457  0.000  0.467
Zn  0.248  0.500  0.171

Entry 13:
DFT (PBE-GGA) results for crystalline ZrTaZn2 at its relaxed geometry.

Crystal system: tetragonal
Calculated formation energy (eV per atom): 0.02

Cell lengths 3.960, 3.960, 8.963 Å; angles 90.00, 90.00, 90.00 degrees
Space group I-4m2 (No. 119)
Symmetry-distinct sites (fractional):
Zr  0.000  0.000  0.000
Ta  0.000  0.500  0.750
Zn  0.000  0.000  0.500
Zn  0.000  0.500  0.250

Entry 14:
DFT (PBE-GGA) results for crystalline Zr2TaZn at its relaxed geometry.

Crystal system: trigonal
Calculated formation energy (eV per atom): 0.07

Cell lengths 3.1680, 3.1680, 28.2979 Å; angles 90.00, 90.00, 120.00 degrees
Space group R-3m (No. 166, hexagonal axes)
Symmetry-distinct sites (fractional):
Zr  0.0000  0.0000  0.2487
Ta  0.0000  0.0000  0.0000
Zn  0.0000  0.0000  0.5000

Entry 15:
DFT (PBE-GGA) results for crystalline ZrTaZn2 at its relaxed geometry.

Crystal system: tetragonal
Calculated formation energy (eV per atom): -0.09

Cell lengths 2.928, 2.928, 8.045 Å; angles 90.00, 90.00, 90.00 degrees
Space group P4/mmm (No. 123)
Symmetry-distinct sites (fractional):
Zr  0.000  0.000  0.000
Ta  0.000  0.000  0.500
Zn  0.500  0.500  0.260

Entry 16:
DFT (PBE-GGA) results for crystalline Zr2TaZn at its relaxed geometry.

Crystal system: monoclinic
Calculated formation energy (eV per atom): 0.02

Cell lengths 3.089, 4.903, 5.283 Å; angles 90.00, 94.84, 90.00 degrees
Space group Pm (No. 6)
Symmetry-distinct sites (fractional):
Zr  0.000  0.000  0.000
Zr  0.136  0.500  0.620
Ta  0.562  0.500  0.140
Zn  0.578  0.000  0.473

Entry 17:
DFT (PBE-GGA) results for crystalline ZrTa2Zn at its relaxed geometry.

Crystal system: tetragonal
Calculated formation energy (eV per atom): 0.42

Cell lengths 3.952, 3.952, 20.174 Å; angles 90.00, 90.00, 90.00 degrees
Space group I-42d (No. 122)
Symmetry-distinct sites (fractional):
Zr  0.000  0.000  0.000
Ta  0.248  0.250  0.125
Zn  0.000  0.000  0.500

Entry 18:
DFT (PBE-GGA) results for crystalline Zr2TaZn at its relaxed geometry.

Crystal system: orthorhombic
Calculated formation energy (eV per atom): 0.02

Cell lengths 3.122, 3.780, 6.630 Å; angles 90.00, 90.00, 90.00 degrees
Space group Pmm2 (No. 25)
Symmetry-distinct sites (fractional):
Zr  0.000  0.000  0.000
Zr  0.500  0.500  0.285
Ta  0.000  0.000  0.540
Zn  0.500  0.500  0.756

Entry 19:
DFT (PBE-GGA) results for crystalline ZrTa2Zn at its relaxed geometry.

Crystal system: orthorhombic
Calculated formation energy (eV per atom): 0.13

Cell lengths 3.104, 3.742, 6.344 Å; angles 90.00, 90.00, 90.00 degrees
Space group Pmmm (No. 47)
Symmetry-distinct sites (fractional):
Zr  0.000  0.000  0.000
Ta  0.500  0.500  0.273
Zn  0.000  0.000  0.500

Entry 20:
DFT (PBE-GGA) results for crystalline ZrTaZn2 at its relaxed geometry.

Crystal system: orthorhombic
Calculated formation energy (eV per atom): -0.09

Cell lengths 5.965, 7.945, 2.910 Å; angles 90.00, 90.00, 90.00 degrees
Space group Cmmm (No. 65)
Symmetry-distinct sites (fractional):
Zr  0.000  0.000  0.000
Ta  0.000  0.500  0.000
Zn  0.250  0.250  0.500